! GGA-PBE NdTmAu2, optimized geometry; values from VASP
! - DFT total energy: -4.777 eV per atom
! - M_tot: 0.01 μB/cell
! - Formation energy from the elements: -834 meV/atom
&SYSTEM
  ibrav = 0, nat = 4, ntyp = 3
/
ATOMIC_SPECIES
Nd 144.24 Nd.upf
Tm 168.93 Tm.upf
Au 196.97 Au.upf
CELL_PARAMETERS angstrom
4.694 0.000 0.000
0.000 1.873 5.525
0.000 -1.873 5.525
ATOMIC_POSITIONS crystal
Nd 0.000 0.000 0.000
Tm 0.500 0.721 0.721
Au 0.000 0.271 0.271
Au 0.500 0.449 0.449

---

! GGA-PBE NdTmAu6, optimized geometry; values from VASP
! - DFT total energy: -4.300 eV per atom
! - M_tot: 0.00 μB/cell
! - Formation energy from the elements: -695 meV/atom
&SYSTEM
  ibrav = 0, nat = 8, ntyp = 3
/
ATOMIC_SPECIES
Nd 144.24 Nd.upf
Tm 168.93 Tm.upf
Au 196.97 Au.upf
CELL_PARAMETERS angstrom
5.047 0.000 0.000
0.000 6.245 0.000
0.000 0.000 5.153
ATOMIC_POSITIONS crystal
Nd 0.000 0.000 0.000
Tm 0.500 0.500 0.313
Au 0.000 0.267 0.496
Au 0.000 0.500 0.996
Au 0.000 0.733 0.496
Au 0.500 0.000 0.337
Au 0.500 0.254 0.818
Au 0.500 0.746 0.818

---

! GGA-PBE NdTmAu, optimized geometry; values from VASP
! - DFT total energy: -4.118 eV per atom
! - M_tot: 0.00 μB/cell
! - Energy relative to the lowest polymorph listed for this composition: 0 meV/atom
! - Formation energy from the elements: 50 meV/atom
&SYSTEM
  ibrav = 0, nat = 3, ntyp = 3
/
ATOMIC_SPECIES
Nd 144.24 Nd.upf
Tm 168.93 Tm.upf
Au 196.97 Au.upf
CELL_PARAMETERS angstrom
0.000 3.452 3.452
3.452 0.000 3.452
3.452 3.452 0.000
ATOMIC_POSITIONS crystal
Nd 0.000 0.000 0.000
Tm 0.750 0.750 0.750
Au 0.500 0.500 0.500

---

! GGA-PBE NdTmZn2Au4, optimized geometry; values from VASP
! - DFT total energy: -3.716 eV per atom
! - M_tot: 0.00 μB/cell
! - Formation energy from the elements: -612 meV/atom
&SYSTEM
  ibrav = 0, nat = 8, ntyp = 4
/
ATOMIC_SPECIES
Nd 144.24 Nd.upf
Tm 168.93 Tm.upf
Zn 65.41 Zn.upf
Au 196.97 Au.upf
CELL_PARAMETERS angstrom
4.868 0.000 0.000
0.000 4.868 0.000
0.000 0.000 6.896
ATOMIC_POSITIONS crystal
Nd 0.000 0.000 0.000
Tm 0.500 0.500 0.500
Zn 0.000 0.000 0.500
Zn 0.500 0.500 0.000
Au 0.000 0.500 0.264
Au 0.000 0.500 0.736
Au 0.500 0.000 0.264
Au 0.500 0.000 0.736

---

! GGA-PBE NdUAu, optimized geometry; values from VASP
! - DFT total energy: -6.169 eV per atom
! - M_tot: 3.91 μB/cell
! - Energy relative to the lowest polymorph listed for this composition: 0 meV/atom
! - Formation energy from the elements: 273 meV/atom
&SYSTEM
  ibrav = 0, nat = 3, ntyp = 3
/
ATOMIC_SPECIES
Nd 144.24 Nd.upf
U 238.03 U.upf
Au 196.97 Au.upf
CELL_PARAMETERS angstrom
0.000 3.562 3.562
3.562 0.000 3.562
3.562 3.562 0.000
ATOMIC_POSITIONS crystal
Nd 0.000 0.000 0.000
U 0.500 0.500 0.500
Au 0.250 0.250 0.250

---

! GGA-PBE NdYAu6, optimized geometry; values from VASP
! - DFT total energy: -4.546 eV per atom
! - M_tot: 0.00 μB/cell
! - Formation energy from the elements: -693 meV/atom
&SYSTEM
  ibrav = 0, nat = 8, ntyp = 3
/
ATOMIC_SPECIES
Nd 144.24 Nd.upf
Y 88.91 Y.upf
Au 196.97 Au.upf
CELL_PARAMETERS angstrom
5.072 0.000 0.000
0.000 6.271 0.000
0.000 0.000 5.170
ATOMIC_POSITIONS crystal
Nd 0.000 0.000 0.000
Y 0.500 0.500 0.312
Au 0.000 0.265 0.496
Au 0.000 0.500 0.991
Au 0.000 0.735 0.496
Au 0.500 0.000 0.335
Au 0.500 0.249 0.817
Au 0.500 0.751 0.817

---

! GGA-PBE NdZn6Au4, optimized geometry; values from VASP
! - DFT total energy: -2.684 eV per atom
! - M_tot: 0.01 μB/cell
! - Formation energy from the elements: -373 meV/atom
&SYSTEM
  ibrav = 0, nat = 11, ntyp = 3
/
ATOMIC_SPECIES
Nd 144.24 Nd.upf
Zn 65.41 Zn.upf
Au 196.97 Au.upf
CELL_PARAMETERS angstrom
7.460 0.000 0.000
-3.730 6.461 0.000
0.000 0.000 4.190
ATOMIC_POSITIONS crystal
Nd 0.000 0.000 0.000
Zn 0.206 0.412 0.500
Zn 0.206 0.794 0.500
Zn 0.538 0.077 0.000
Zn 0.538 0.462 0.000
Zn 0.588 0.794 0.500
Zn 0.923 0.462 0.000
Au 0.333 0.667 0.000
Au 0.390 0.195 0.500
Au 0.805 0.195 0.500
Au 0.805 0.610 0.500

---

! GGA-PBE NdZnAu, optimized geometry; values from VASP
! - DFT total energy: -3.461 eV per atom
! - M_tot: 0.02 μB/cell
! - Formation energy from the elements: -363 meV/atom
&SYSTEM
  ibrav = 0, nat = 3, ntyp = 3
/
ATOMIC_SPECIES
Nd 144.24 Nd.upf
Zn 65.41 Zn.upf
Au 196.97 Au.upf
CELL_PARAMETERS angstrom
0.000 3.312 3.312
3.312 0.000 3.312
3.312 3.312 0.000
ATOMIC_POSITIONS crystal
Nd 0.000 0.000 0.000
Zn 0.750 0.750 0.750
Au 0.500 0.500 0.500